A) Compound: Li2Mn2CoO6
Source: Alexandria via LeMat-Bulk
Functional: meta-GGA SCAN
Structure: PBEsol geometry

Geometry as POSCAR:
```
Li2Mn2CoO6
1.0
4.2388 -2.4185 0.0000
4.2388 2.4185 0.0000
0.0000 0.0000 10.1274
Li Mn Co O
4 4 2 12
Cartesian
2.1194 0.3720 2.5319 Li
2.1194 -0.3720 7.5956 Li
6.3582 0.3720 2.5319 Li
6.3582 -0.3720 7.5956 Li
1.3896 0.0000 0.0000 Mn
2.8492 0.0000 5.0637 Mn
5.6284 0.0000 5.0637 Mn
7.0880 0.0000 0.0000 Mn
0.0000 0.0000 5.0637 Co
4.2388 0.0000 0.0000 Co
1.5166 0.8526 6.1494 O
2.7222 0.8526 9.0417 O
4.2388 1.5971 0.9903 O
4.2388 0.8214 6.0540 O
1.5166 -0.8526 3.9780 O
2.7222 -0.8526 1.0857 O
5.7554 0.8526 9.0417 O
6.9610 0.8526 6.1494 O
4.2388 -0.8214 4.0734 O
4.2388 -1.5971 9.1371 O
5.7554 -0.8526 1.0857 O
6.9610 -0.8526 3.9780 O
```

Calculated values
space group = Cmce (64)
M_tot = 7.01 μB/f.u.
V = 9.44 A^3/atom

***

B) Compound: Li2Mn2CoO6
Source: Alexandria via LeMat-Bulk
Functional: meta-GGA SCAN
Structure: PBEsol geometry

Geometry as POSCAR:
```
Li2Mn2CoO6
1.0
5.6205 0.0000 0.0000
-0.0269 5.7718 0.0000
-1.3588 -1.7127 6.0224
Li Mn Co O
4 4 2 12
Cartesian
0.0000 0.0000 0.0000 Li
0.1613 2.6189 3.9452 Li
2.8102 0.0000 0.0000 Li
4.0735 1.4402 2.0773 Li
0.0319 -0.1648 4.0085 Mn
1.4105 4.2339 2.0170 Mn
2.8243 -0.1748 4.0055 Mn
4.2029 4.2239 2.0139 Mn
-0.0135 2.8859 0.0000 Co
2.7968 2.8859 0.0000 Co
-0.0192 2.9428 1.9180 O
0.0028 -0.2333 2.0685 O
0.0336 -0.1192 5.8800 O
1.3928 4.1877 0.1007 O
1.3798 4.2781 3.9499 O
1.4276 1.0991 4.1303 O
2.8072 2.9600 1.8921 O
2.8549 -0.2190 2.0725 O
2.8419 -0.1286 5.9218 O
4.2012 4.1783 0.1425 O
4.2319 4.2924 3.9540 O
4.2540 1.1163 4.1044 O
```

Calculated values
space group = P-1 (2)
M_tot = 5.00 μB/f.u.
V = 8.88 A^3/atom

***

Stability summary: most stable B), least stable A).

***

A) Compound: Li4MnCo2O7
Source: Alexandria via LeMat-Bulk
Functional: meta-GGA SCAN
Structure: PBEsol geometry

Geometry as POSCAR:
```
Li4MnCo2O7
1.0
4.8797 0.0000 0.0000
-1.6141 5.4305 0.0000
-0.8306 -0.3717 8.4105
Li Mn Co O
8 2 4 14
Cartesian
0.0000 0.0000 0.0000 Li
-0.8071 2.7152 0.0000 Li
-0.0491 1.4569 2.3542 Li
-0.0112 2.9052 4.7998 Li
-0.0428 4.3134 7.2407 Li
2.4778 0.7454 1.1698 Li
2.4462 2.1537 3.6107 Li
2.4841 3.6019 6.0563 Li
0.8037 1.6244 7.2103 Mn
1.6313 3.4344 1.2002 Mn
-0.8075 4.1536 2.3977 Co
0.8050 0.1768 4.8088 Co
1.6300 4.8820 3.6017 Co
3.2425 0.9053 6.0128 Co
-1.6255 4.0410 4.1189 O
-0.0356 0.0198 6.5389 O
-0.7581 2.4923 6.5838 O
0.0737 4.3799 0.7371 O
0.9220 1.8008 0.5495 O
1.6159 0.2943 3.1062 O
0.7975 3.2749 2.9361 O
1.6375 1.7839 5.4744 O
0.8191 4.7645 5.3042 O
1.5130 3.2580 7.8609 O
2.3613 0.6789 7.6734 O
3.1931 2.5665 1.8267 O
2.4706 5.0390 1.8716 O
4.0605 1.0178 4.2916 O
```

Calculated values
space group = P-1 (2)
M_tot = 2.97 μB/f.u.
V = 7.96 A^3/atom

***

B) Compound: Li4MnCo2O7
Source: Alexandria via LeMat-Bulk
Functional: meta-GGA SCAN
Structure: PBEsol geometry

Geometry as POSCAR:
```
Li4MnCo2O7
1.0
16.1820 -1.4115 0.0000
16.1820 1.4115 0.0000
-0.1921 0.0000 4.9084
Li Mn Co O
8 2 4 14
Cartesian
0.0000 0.0000 0.0000 Li
2.2076 0.0000 1.7479 Li
6.9248 0.0000 0.3655 Li
11.3959 0.0000 3.7874 Li
16.0860 0.0000 2.4542 Li
20.7761 0.0000 1.1210 Li
25.2471 0.0000 4.5430 Li
29.9644 0.0000 3.1605 Li
13.8839 0.0000 0.6401 Mn
18.2881 0.0000 4.2683 Mn
4.5105 0.0000 3.5460 Co
9.1546 0.0000 2.0852 Co
23.0174 0.0000 2.8232 Co
27.6615 0.0000 1.3624 Co
1.1800 0.0000 3.4227 O
3.4511 0.0000 0.0722 O
5.7669 0.0000 2.1181 O
7.9074 0.0000 3.5294 O
10.4085 0.0000 0.6448 O
12.5191 0.0000 2.0964 O
14.7395 0.0000 4.1124 O
17.4325 0.0000 0.7960 O
19.6529 0.0000 2.8121 O
21.7635 0.0000 4.2636 O
24.2646 0.0000 1.3790 O
26.4051 0.0000 2.7903 O
28.7209 0.0000 4.8362 O
30.9920 0.0000 1.4857 O
```

Calculated values
space group = C2/m (12)
M_tot = 2.99 μB/f.u.
V = 8.01 A^3/atom

***

Stability summary: most stable A), least stable B).